K12CdAg5 | Alexandria | PBE-GGA | optimized geometry; formation enthalpy at 0 K = 43 kJ/mol of formula units; M_tot = 0.00 Bohr magnetons per cell; crystal system = orthorhombic; uncorrected energy = -1.5495 eV/atom
1.0
-5.591 5.780 6.306
5.591 -5.780 6.306
5.591 5.780 -6.306
K Cd Ag
12 1 5
Direct
0.035 0.231 0.804
0.180 0.278 0.458
0.180 0.722 0.902
0.328 0.026 0.698
0.328 0.630 0.302
0.427 0.231 0.196
0.573 0.769 0.804
0.672 0.370 0.698
0.672 0.974 0.302
0.820 0.278 0.098
0.820 0.722 0.542
0.965 0.769 0.196
0.500 0.500 0.000
0.000 0.000 0.000
0.112 0.612 0.500
0.370 0.000 0.370
0.630 0.000 0.630
0.888 0.388 0.500